VASP calculation (PBE-GGA) on Y2AgGe2 after structural relaxation.

```
10
Lattice="8.4358 0.0000 0.0000 0.0000 8.4358 0.0000 0.0000 0.0000 3.3689" Properties=species:S:1:pos:R:3 pbc="T T T"
Y 1.1791 3.0389 0.0000
Y 3.0389 7.2568 0.0000
Y 5.3970 1.1791 0.0000
Y 7.2568 5.3970 0.0000
Ag 0.0000 0.0000 0.0000
Ag 4.2179 4.2179 0.0000
Ge 1.4002 5.6181 1.6844
Ge 2.8177 1.4002 1.6844
Ge 5.6181 7.0357 1.6844
Ge 7.0357 2.8177 1.6844
```

Calculated values
* ΔE_f: -0.31 eV/atom
* distance to the lowest polymorph of the same formula: 417 meV/atom
* DOS(E_F): 2.8 states/eV/f.u.

=====

VASP calculation (PBE-GGA) on NaPmCrN3 after structural relaxation.

```
12
Lattice="6.7563 -1.8449 0.0000 6.7563 1.8449 0.0000 -1.9735 0.0000 6.8953" Properties=species:S:1:pos:R:3 pbc="T T T"
Na 1.5959 0.0000 0.5106
Na 9.9431 0.0000 6.3847
Pm 1.0079 0.0000 4.2179
Pm 10.5311 0.0000 2.6774
Cr 5.2918 0.0000 4.7333
Cr 6.2473 0.0000 2.1620
N -0.4775 0.0000 2.3051
N 3.4072 0.0000 4.5326
N 4.7408 0.0000 1.2240
N 6.7982 0.0000 5.6713
N 8.1318 0.0000 2.3627
N 12.0166 0.0000 4.5903
```

Calculated values
* total DFT energy (no corrections): -7.239 eV per atom
* DOS(E_F): 1.1 states/eV/f.u.

=====

VASP calculation (PBE-GGA) on BaBe2Hg after structural relaxation.

```
4
Lattice="-2.1875 3.1219 3.6583 2.1875 -3.1219 3.6583 2.1875 3.1219 -3.6583" Properties=species:S:1:pos:R:3 pbc="T T T"
Ba 0.0000 0.0000 0.0000
Be 2.1875 0.0000 2.6056
Be 0.0000 3.1219 1.0527
Hg 0.0000 0.0000 3.6583
```

Calculated values
* ΔE_f: 0.38 eV/atom
* DOS(E_F): 1.8 states/eV/f.u.

=====

VASP calculation (PBE-GGA) on LaCl after structural relaxation.

```
12
Lattice="7.9526 0.0000 0.0000 0.0000 7.9526 0.0000 0.0000 0.0000 7.9526" Properties=species:S:1:pos:R:3 pbc="T T T"
La 0.0000 1.9882 3.9763
La 0.0000 5.9645 3.9763
La 1.9882 3.9763 0.0000
La 3.9763 0.0000 1.9882
La 3.9763 0.0000 5.9645
La 5.9645 3.9763 0.0000
Cl 0.0000 3.9763 1.9882
Cl 0.0000 3.9763 5.9645
Cl 1.9882 0.0000 3.9763
Cl 3.9763 1.9882 0.0000
Cl 3.9763 5.9645 0.0000
Cl 5.9645 0.0000 3.9763
```

Calculated values
* total DFT energy (no corrections): -4.382 eV per atom
* DOS(E_F): 3.6 states/eV/f.u.

=====

VASP calculation (PBE-GGA) on Tb5In2H after structural relaxation.

```
8
Lattice="-3.4734 3.4734 4.5102 3.4734 -3.4734 4.5102 3.4734 3.4734 -4.5102" Properties=species:S:1:pos:R:3 pbc="T T T"
Tb 0.0000 0.0000 0.0000
Tb 1.7448 1.7448 -2.2095
Tb 1.7286 -1.7286 2.3007
Tb -1.7286 1.7286 2.3007
Tb 1.7286 1.7286 2.3007
In 3.4734 0.0000 0.0316
In 0.0000 3.4734 0.0316
H 0.0000 0.0000 6.7716
```

Calculated values
* total DFT energy (no corrections): -4.192 eV per atom
* DOS(E_F): 9.0 states/eV/f.u.

=====

VASP calculation (PBE-GGA) on K3Ac2LaO6 after structural relaxation.

```
12
Lattice="3.3089 -5.7331 0.0000 3.3089 5.7331 0.0000 -2.2024 0.0000 6.3369" Properties=species:S:1:pos:R:3 pbc="T T T"
K 0.0000 0.0000 0.0000
K 3.3089 1.8713 0.0000
K 3.3089 -1.8713 0.0000
Ac 2.2077 3.8204 3.1685
Ac 2.2077 -3.8204 3.1685
La 2.2077 0.0000 3.1685
O 1.1300 1.8666 1.9411
O 0.0528 0.0000 4.3939
O 1.1300 -1.8666 1.9411
O 3.2854 1.8666 4.3959
O 4.3627 0.0000 1.9431
O 3.2854 -1.8666 4.3959
```

Calculated values
* total DFT energy (no corrections): -6.443 eV per atom
* DOS(E_F): 0.0 states/eV/f.u.

=====

Which of these has the lowest DOS(E_F)?
K3Ac2LaO6

=====

The lowest DOS(E_F) belongs to which entry?
K3Ac2LaO6